No. 1
Compound: ScB4Os3
Source: the Alexandria database
Functional: SCAN
Structure: PBEsol geometry

The structure belongs to space group Cmcm (No. 63); the cell edges are 2.9358, 11.7598 and 9.8069 Å and the angles 90.00°, 90.00° and 90.00°. Symmetry generates all atoms from Sc at (0.0000, 0.0000, 0.0000), B at (0.0000, 0.1293, 0.2500), B at (0.0000, 0.1496, 0.7500), B at (0.0000, 0.3436, 0.1089), Os at (0.0000, 0.2987, 0.6080) and Os at (0.0000, 0.4891, 0.2500).

The energy relative to the elements comes out at -0.51 eV/atom. The density of states at the Fermi level is 6.97 states/eV/cell.



No. 2
Compound: Ba2Ni
Source: the Alexandria database
Functional: SCAN
Structure: PBEsol geometry

The structure belongs to space group I4/mcm (No. 140); the cell edges are 7.5547, 7.5547 and 7.1983 Å and the angles 90.00°, 90.00° and 90.00°. Symmetry generates all atoms from Ba at (0.1968, 0.3032, 0.0000) and Ni at (0.0000, 0.0000, 0.2500).

The energy relative to the elements comes out at 0.25 eV/atom. The density of states at the Fermi level is 10.49 states/eV/cell.



No. 3
Compound: CsMgCdTe2
Source: the Alexandria database
Functional: SCAN
Structure: PBEsol geometry

The structure belongs to space group P4/mmm (No. 123); the cell edges are 5.6194, 5.6194 and 6.3420 Å and the angles 90.00°, 90.00° and 90.00°. Symmetry generates all atoms from Cs at (0.0000, 0.0000, 0.0000), Mg at (0.5000, 0.5000, 0.0000), Cd at (0.0000, 0.0000, 0.5000) and Te at (0.0000, 0.5000, 0.5000).

As for the energy relative to the elements, uncorrected: 0.055 eV per atom. The density of states at the Fermi level is 3.94 states/eV/cell.



No. 4
Compound: Mg2SiMo
Source: the Alexandria database
Functional: SCAN
Structure: PBEsol geometry

The structure belongs to space group Pm (No. 6); the cell edges are 2.8219, 4.1611 and 5.7088 Å and the angles 90.00°, 100.50° and 90.00°. Symmetry generates all atoms from Mg at (0.0000, 0.0000, 0.0000), Mg at (0.3854, 0.5000, 0.7463), Si at (0.0813, 0.0000, 0.4567) and Mo at (0.6117, 0.5000, 0.2867).

As for the energy relative to the elements, uncorrected: 0.140 eV per atom. The density of states at the Fermi level is 1.38 states/eV/cell.



No. 5
Compound: CaBe3Pt
Source: the Alexandria database
Functional: SCAN
Structure: PBEsol geometry

The structure belongs to space group Pm-3m (No. 221); the cell edges are 4.3142, 4.3142 and 4.3142 Å and the angles 90.00°, 90.00° and 90.00°. Symmetry generates all atoms from Ca at (0.0000, 0.0000, 0.0000), Be at (0.0000, 0.5000, 0.5000) and Pt at (0.5000, 0.5000, 0.5000).

The energy relative to the elements comes out at -0.39 eV/atom. The density of states at the Fermi level is 1.47 states/eV/cell.



No. 6
Compound: LiZn2As
Source: the Alexandria database
Functional: SCAN
Structure: PBEsol geometry

The structure belongs to space group P4/mmm (No. 123); the cell edges are 2.7945, 2.7945 and 8.1472 Å and the angles 90.00°, 90.00° and 90.00°. Symmetry generates all atoms from Li at (0.0000, 0.0000, 0.0000), Zn at (0.5000, 0.5000, 0.2344) and As at (0.0000, 0.0000, 0.5000).

The energy relative to the elements comes out at 0.00 eV/atom. The density of states at the Fermi level is 1.21 states/eV/cell.



No. 7
Compound: LiCaAu4
Source: the Alexandria database
Functional: SCAN
Structure: PBEsol geometry

The structure belongs to space group F-43m (No. 216); the cell edges are 7.7635, 7.7635 and 7.7635 Å and the angles 90.00°, 90.00° and 90.00°. Symmetry generates all atoms from Li at (0.0000, 0.0000, 0.0000), Ca at (0.2500, 0.2500, 0.2500) and Au at (0.1254, 0.1254, 0.6254).

The energy relative to the elements comes out at -0.63 eV/atom. The density of states at the Fermi level is 7.18 states/eV/cell.



No. 8
Compound: Al2SiPd2
Source: the Alexandria database
Functional: SCAN
Structure: PBEsol geometry

The structure belongs to space group P4/mbm (No. 127); the cell edges are 7.4109, 7.4109 and 2.7822 Å and the angles 90.00°, 90.00° and 90.00°. Symmetry generates all atoms from Al at (0.1494, 0.3506, 0.0000), Si at (0.0000, 0.0000, 0.0000) and Pd at (0.1444, 0.6444, 0.5000).

Its distance to the lowest polymorph of the same formula is 115 meV per atom. As for the energy relative to the elements, uncorrected: -0.442 eV per atom. The density of states at the Fermi level is 3.70 states/eV/cell.



No. 9
Compound: BeTcP2
Source: the Alexandria database
Functional: SCAN
Structure: PBEsol geometry

The structure belongs to space group Cmmm (No. 65); the cell edges are 4.9209, 6.4610 and 2.9961 Å and the angles 90.00°, 90.00° and 90.00°. Symmetry generates all atoms from Be at (0.0000, 0.0000, 0.0000), Tc at (0.0000, 0.5000, 0.0000) and P at (0.2500, 0.2500, 0.5000).

The energy relative to the elements comes out at 0.13 eV/atom. The density of states at the Fermi level is 3.74 states/eV/cell.



No. 10
Compound: K4BaP
Source: the Alexandria database
Functional: SCAN
Structure: PBEsol geometry

The structure belongs to space group F-43m (No. 216); the cell edges are 10.3181, 10.3181 and 10.3181 Å and the angles 90.00°, 90.00° and 90.00°. Symmetry generates all atoms from K at (0.1217, 0.1217, 0.3783), Ba at (0.0000, 0.0000, 0.0000) and P at (0.2500, 0.2500, 0.7500).

The energy relative to the elements comes out at 0.39 eV/atom. The density of states at the Fermi level is 11.93 states/eV/cell.



No. 11
Compound: Tl2CrHgH
Source: the Alexandria database
Functional: SCAN
Structure: PBEsol geometry

The structure belongs to space group P4/mmm (No. 123); the cell edges are 5.1187, 5.1187 and 3.7507 Å and the angles 90.00°, 90.00° and 90.00°. Symmetry generates all atoms from Tl at (0.0000, 0.5000, 0.0000), Cr at (0.0000, 0.0000, 0.5000), Hg at (0.5000, 0.5000, 0.5000) and H at (0.5000, 0.5000, 0.0000).

For the uncorrected energy, the calculation gives -46.52 eV/atom. The density of states at the Fermi level is 1.92 states/eV/cell.



No. 12
Compound: RhSBrN2
Source: the Alexandria database
Functional: SCAN
Structure: PBEsol geometry

The structure belongs to space group P4/mmm (No. 123); the cell edges are 3.6013, 3.6013 and 5.5311 Å and the angles 90.00°, 90.00° and 90.00°. Symmetry generates all atoms from Rh at (0.0000, 0.0000, 0.0000), S at (0.5000, 0.5000, 0.0000), Br at (0.5000, 0.5000, 0.5000) and N at (0.0000, 0.5000, 0.5000).

Its distance to the lowest polymorph of the same formula is 1138 meV per atom. As for the energy relative to the elements, uncorrected: 2.292 eV per atom. The density of states at the Fermi level is 2.31 states/eV/cell.



No. 13
Compound: TlCoTe2
Source: the Alexandria database
Functional: SCAN
Structure: PBEsol geometry

The structure belongs to space group R-3m (No. 166, hexagonal axes); the cell edges are 3.7578, 3.7578 and 23.6368 Å and the angles 90.00°, 90.00° and 120.00°. Symmetry generates all atoms from Tl at (0.0000, 0.0000, 0.0000), Co at (0.0000, 0.0000, 0.5000) and Te at (0.0000, 0.0000, 0.2219).

As for the energy relative to the elements, uncorrected: -0.154 eV per atom. The density of states at the Fermi level is 5.04 states/eV/cell.



No. 14
Compound: ZrCuC3
Source: the Alexandria database
Functional: SCAN
Structure: PBEsol geometry

The structure belongs to space group Pm-3m (No. 221); the cell edges are 4.2245, 4.2245 and 4.2245 Å and the angles 90.00°, 90.00° and 90.00°. Symmetry generates all atoms from Zr at (0.0000, 0.0000, 0.0000), Cu at (0.5000, 0.5000, 0.5000) and C at (0.0000, 0.0000, 0.5000).

The energy relative to the elements comes out at 2.51 eV/atom. The density of states at the Fermi level is 4.49 states/eV/cell.



No. 15
Compound: BaAg6O4
Source: the Alexandria database
Functional: SCAN
Structure: PBEsol geometry

The structure belongs to space group Pnna (No. 52); the cell edges are 6.5504, 12.7187 and 9.0324 Å and the angles 90.00°, 90.00° and 90.00°. Symmetry generates all atoms from Ba at (0.2500, 0.0000, 0.1217), Ag at (0.0000, 0.0000, 0.5000), Ag at (0.0777, 0.2362, 0.4673), Ag at (0.1039, 0.7500, 0.2500), Ag at (0.2078, 0.6277, 0.7404), O at (0.0524, 0.1295, 0.9084) and O at (0.0791, 0.1055, 0.3363).

As for the energy relative to the elements, uncorrected: -0.681 eV per atom.



No. 16
Compound: ZnSbH2F
Source: the Alexandria database
Functional: SCAN
Structure: PBEsol geometry

The structure belongs to space group P4/mmm (No. 123); the cell edges are 4.1737, 4.1737 and 3.6992 Å and the angles 90.00°, 90.00° and 90.00°. Symmetry generates all atoms from Zn at (0.0000, 0.0000, 0.0000), Sb at (0.5000, 0.5000, 0.0000), H at (0.0000, 0.5000, 0.5000) and F at (0.0000, 0.0000, 0.5000).

For the uncorrected energy, the calculation gives -11.85 eV/atom. The density of states at the Fermi level is 1.87 states/eV/cell.



No. 17
Compound: ZrZnH3
Source: the Alexandria database
Functional: SCAN
Structure: PBEsol geometry

The structure belongs to space group Pm-3m (No. 221); the cell edges are 3.7513, 3.7513 and 3.7513 Å and the angles 90.00°, 90.00° and 90.00°. Symmetry generates all atoms from Zr at (0.0000, 0.0000, 0.0000), Zn at (0.5000, 0.5000, 0.5000) and H at (0.0000, 0.0000, 0.5000).

For the uncorrected energy, the calculation gives -10.88 eV/atom. The density of states at the Fermi level is 1.00 states/eV/cell.



No. 18
Compound: CaTa2Co
Source: the Alexandria database
Functional: SCAN
Structure: PBEsol geometry

The structure belongs to space group Imm2 (No. 44); the cell edges are 3.1126, 4.8623 and 9.3245 Å and the angles 90.00°, 90.00° and 90.00°. Symmetry generates all atoms from Ca at (0.0000, 0.0000, 0.0000), Ta at (0.0000, 0.0000, 0.4294), Ta at (0.0000, 0.5000, 0.2104) and Co at (0.0000, 0.5000, 0.7410).

The energy relative to the elements comes out at 0.66 eV/atom. Its distance to the lowest polymorph of the same formula is 0 meV per atom. The density of states at the Fermi level is 8.13 states/eV/cell.



No. 19
Compound: Ca3SiCl2O4
Source: the Alexandria database
Functional: SCAN
Structure: PBEsol geometry

The structure belongs to space group P2_1/c (No. 14); the cell edges are 9.7569, 6.7066 and 10.7744 Å and the angles 90.00°, 105.59° and 90.00°. Symmetry generates all atoms from Ca at (0.0726, 0.2155, 0.3868), Ca at (0.3016, 0.7405, 0.4547), Ca at (0.4174, 0.0409, 0.7277), Si at (0.3806, 0.2497, 0.4697), Cl at (0.0081, 0.2017, 0.6234), Cl at (0.2149, 0.6767, 0.6826), O at (0.2649, 0.0832, 0.8922), O at (0.2784, 0.0681, 0.4962), O at (0.4868, 0.1890, 0.1102) and O at (0.4865, 0.1992, 0.3789).

As for the energy relative to the elements, uncorrected: -3.156 eV per atom. The density of states at the Fermi level is 0.00 states/eV/cell.



No. 20
Compound: ScTa2Pb
Source: the Alexandria database
Functional: SCAN
Structure: PBEsol geometry

The structure belongs to space group P4mm (No. 99); the cell edges are 3.0476, 3.0476 and 8.8742 Å and the angles 90.00°, 90.00° and 90.00°. Symmetry generates all atoms from Sc at (0.0000, 0.0000, 0.0000), Ta at (0.0000, 0.0000, 0.4626), Ta at (0.5000, 0.5000, 0.2366) and Pb at (0.5000, 0.5000, 0.7211).

The energy relative to the elements comes out at 0.22 eV/atom. The density of states at the Fermi level is 3.44 states/eV/cell.